(1)
{"formula": "CaLa3Nd8", "functional": "PBE", "state": "optimized geometry", "total_energy_ev_per_atom": -4.309, "density_g_cm3": 5.77, "cell": [[-5.768, -2.351, -6.486], [1.648, -8.214, 3.269], [-0.408, 4.341, 7.865]], "species": ["Nd", "Nd", "La", "Nd", "La", "Nd", "Nd", "Ca", "La", "Nd", "Nd", "Nd"], "fractional_positions": [[0.505, 0.254, 0.250], [0.004, 0.254, 0.750], [0.000, 0.500, 0.500], [0.826, 0.076, 0.251], [0.500, 0.261, 0.761], [0.175, 0.924, 0.750], [0.174, 0.425, 0.250], [0.000, 0.000, 0.000], [0.500, 0.739, 0.239], [0.495, 0.746, 0.750], [0.996, 0.746, 0.250], [0.825, 0.575, 0.749]]}

***

(2)
{"formula": "Al2Ge", "functional": "PBE", "state": "optimized geometry", "total_energy_ev_per_atom": -3.777, "density_g_cm3": 3.82, "cell": [[5.377, 0.000, 0.000], [2.689, 4.657, 0.000], [2.689, 1.552, 4.391]], "species": ["Al", "Al", "Ge", "Al", "Ge", "Al"], "fractional_positions": [[0.125, 0.625, 0.625], [0.625, 0.625, 0.625], [0.250, 0.250, 0.250], [0.625, 0.125, 0.625], [0.000, 0.000, 0.000], [0.625, 0.625, 0.125]]}

***

(3)
{"formula": "Na3HoSb3Se8", "functional": "PBE", "state": "optimized geometry", "total_energy_ev_per_atom": -4.046, "density_g_cm3": 4.89, "cell": [[-4.517, -6.806, 0.637], [5.787, 0.550, -5.779], [2.459, -0.864, 8.205]], "species": ["Na", "Na", "Se", "Se", "Se", "Se", "Sb", "Sb", "Se", "Ho", "Se", "Sb", "Se", "Na", "Se"], "fractional_positions": [[0.000, 0.500, 0.000], [0.500, 0.500, 0.000], [0.742, 0.984, 0.724], [0.258, 0.016, 0.276], [0.241, 0.483, 0.725], [0.256, 0.512, 0.269], [0.500, 0.000, 0.500], [0.500, 0.500, 0.500], [0.241, 0.984, 0.724], [0.000, 0.000, 0.500], [0.759, 0.517, 0.275], [0.000, 0.500, 0.500], [0.759, 0.016, 0.276], [0.000, 0.000, 0.000], [0.744, 0.488, 0.731]]}

***

(4)
{"formula": "ZrSc4Cl", "functional": "PBE", "state": "optimized geometry", "total_energy_ev_per_atom": -5.576, "density_g_cm3": 3.34, "cell": [[-0.245, -2.805, 5.290], [-1.605, 3.020, 4.921], [-5.302, -1.075, 2.579]], "species": ["Sc", "Sc", "Cl", "Sc", "Zr", "Sc"], "fractional_positions": [[0.378, 0.378, 0.867], [0.867, 0.378, 0.378], [0.000, 0.000, 0.000], [0.378, 0.378, 0.378], [0.750, 0.750, 0.750], [0.378, 0.867, 0.378]]}

***

(5)
{"formula": "CsBa3V", "functional": "PBE", "state": "optimized geometry", "relative_energy_mev_per_atom": 0, "density_g_cm3": 3.65, "cell": [[-5.091, -3.983, 0.285], [1.010, -1.731, -6.152], [3.863, -4.796, 1.984]], "species": ["Cs", "V", "Ba", "Ba", "Ba"], "fractional_positions": [[0.500, 0.500, 0.500], [0.000, 0.000, 0.000], [0.500, 0.000, 0.000], [0.000, 0.500, 0.000], [0.000, 0.000, 0.500]]}

***

(6)
{"formula": "Sr3YTh2Sb6", "functional": "PBE", "state": "optimized geometry", "total_energy_ev_per_atom": -5.259, "density_g_cm3": 6.12, "cell": [[7.942, -0.002, 0.000], [-3.971, 6.878, 0.000], [-1.325, -2.294, 7.678]], "species": ["Th", "Sb", "Sb", "Sr", "Sr", "Y", "Th", "Sb", "Sb", "Sb", "Sb", "Sr"], "fractional_positions": [[0.334, 0.666, 0.000], [0.924, 0.593, 0.771], [0.593, 0.924, 0.771], [0.500, 0.500, 0.500], [0.832, 0.168, 0.500], [0.000, 0.000, 0.000], [0.666, 0.334, 0.000], [0.076, 0.407, 0.229], [0.407, 0.076, 0.229], [0.254, 0.254, 0.770], [0.746, 0.746, 0.230], [0.168, 0.832, 0.500]]}

***

(7)
{"formula": "Y2PS", "functional": "PBE", "state": "optimized geometry", "relative_energy_mev_per_atom": 506, "density_g_cm3": 3.35, "cell": [[6.188, 0.000, 0.000], [0.000, 6.188, 0.000], [3.094, 3.094, 6.241]], "species": ["P", "Y", "Y", "P", "Y", "S", "S", "Y"], "fractional_positions": [[0.500, 0.500, 0.000], [0.624, 0.125, 0.250], [0.126, 0.625, 0.250], [0.250, 0.750, 0.500], [0.875, 0.874, 0.750], [0.000, 0.000, 0.000], [0.750, 0.250, 0.500], [0.375, 0.376, 0.750]]}

***

(8)
{"formula": "SrCuO2", "functional": "PBE", "state": "optimized geometry", "total_energy_ev_per_atom": -5.385, "density_g_cm3": 4.80, "cell": [[-0.060, -2.343, -4.270], [4.866, 0.147, -0.149], [2.623, -5.778, 0.356]], "species": ["Cu", "O", "Sr", "O", "O", "Cu", "O", "Sr"], "fractional_positions": [[0.500, 0.500, 0.000], [0.875, 0.797, 0.750], [0.750, 0.250, 0.500], [0.547, 0.125, 0.250], [0.203, 0.625, 0.250], [0.250, 0.750, 0.500], [0.375, 0.453, 0.750], [0.000, 0.000, 0.000]]}

***

(9)
{"formula": "TlAs2H2", "functional": "PBE", "state": "optimized geometry", "relative_energy_mev_per_atom": 0, "density_g_cm3": 6.29, "cell": [[4.090, 0.000, 0.000], [0.000, 4.090, 0.000], [2.045, 2.045, 5.625]], "species": ["H", "Tl", "As", "H", "As"], "fractional_positions": [[0.741, 0.741, 0.519], [0.000, 0.000, 0.000], [0.750, 0.250, 0.500], [0.259, 0.259, 0.481], [0.250, 0.750, 0.500]]}

***

(10)
{"formula": "InGaHg", "functional": "PBE", "state": "optimized geometry", "total_energy_ev_per_atom": -1.988, "density_g_cm3": 8.61, "cell": [[8.896, 0.220, 0.030], [-1.033, 2.944, -0.076], [-1.433, -2.221, 5.673]], "species": ["Ga", "In", "Hg", "In", "Hg", "Ga"], "fractional_positions": [[0.965, 0.299, 0.905], [0.678, 0.356, 0.508], [0.477, 0.274, 0.857], [0.105, 0.748, 0.562], [0.306, 0.831, 0.212], [0.818, 0.805, 0.165]]}

***

(11)
{"formula": "Ba5Na5Ca", "functional": "PBE", "state": "optimized geometry", "relative_energy_mev_per_atom": 61, "density_g_cm3": 2.42, "cell": [[-4.008, -4.595, -1.968], [9.291, -4.436, 1.867], [-2.456, -1.535, 8.589]], "species": ["Na", "Na", "Na", "Ca", "Ba", "Ba", "Na", "Na", "Ba", "Ba", "Ba"], "fractional_positions": [[0.809, 0.618, 0.000], [0.500, 0.000, 0.000], [0.801, 0.603, 0.500], [0.000, 0.000, 0.000], [0.636, 0.272, 0.742], [0.364, 0.728, 0.258], [0.199, 0.397, 0.500], [0.191, 0.382, 0.000], [0.000, 0.000, 0.500], [0.364, 0.728, 0.743], [0.636, 0.272, 0.257]]}